(1)
Below is a geometry-optimized Na2Mg2AlZnPt2 structure, with properties calculated at the PBE level.

a = 4.5774 Å, b = 4.5774 Å, c = 6.4942 Å
α = 90.00°, β = 90.00°, γ = 90.00°
With the nearest neighbours (Å) after each atom.
Space group P-4m2 (No. 115)
Asymmetric unit:
Na (0.0000, 0.5000, 0.2412) (multiplicity 2)  4 Mg 2.77-2.84, 2 Zn 2.77, 2 Al 2.84
Mg (0.0000, 0.0000, 0.0000) (multiplicity 1)  4 Na 2.77, 4 Pt 2.87
Mg (0.5000, 0.5000, 0.5000) (multiplicity 1)  4 Pt 2.75, 4 Na 2.84
Al (0.0000, 0.0000, 0.5000) (multiplicity 1)  4 Pt 2.75, 4 Na 2.84
Zn (0.5000, 0.5000, 0.0000) (multiplicity 1)  4 Na 2.77, 4 Pt 2.87
Pt (0.0000, 0.5000, 0.7346) (multiplicity 2)  4 Mg 2.75-2.87, 2 Al 2.75, 2 Zn 2.87

Calculated values
The value obtained for the energy is -3.256 eV/atom.

---

(2)
Below is a geometry-optimized Mg2NbAl structure, with properties calculated at the PBE level.

a = 6.6836 Å, b = 6.6836 Å, c = 6.6836 Å
α = 90.00°, β = 90.00°, γ = 90.00°
With the nearest neighbours (Å) after each atom.
Space group F-43m (No. 216)
Asymmetric unit:
Mg (0.0000, 0.0000, 0.0000) (multiplicity 4)  4 Nb 2.89, 4 Mg 2.89
Mg (0.2500, 0.2500, 0.2500) (multiplicity 4)  4 Mg 2.89, 4 Al 2.89
Nb (0.2500, 0.2500, 0.7500) (multiplicity 4)  4 Mg 2.89, 4 Al 2.89
Al (0.0000, 0.0000, 0.5000) (multiplicity 4)  4 Nb 2.89, 4 Mg 2.89

Calculated values
The value obtained for the energy is -4.044 eV/atom.